A plane-wave DFT calculation with PBE was carried out for a geometry-optimized Pa2SbPd3 structure.

Cell lengths 5.6933, 5.6933, 9.4195 Å; angles 114.28, 114.28, 68.86 degrees
Positions (direct):
Pa: 0.7500 0.2500 0.5000
Pa: 0.7768 0.2232 0.0000
Pa: 0.2500 0.7500 0.5000
Pa: 0.2232 0.7768 0.0000
Sb: 0.6632 0.6632 0.3264
Sb: 0.3368 0.3368 0.6736
Pd: 0.8314 0.8314 0.1662
Pd: 0.6652 0.6652 0.8338
Pd: 0.1686 0.1686 0.8338
Pd: 0.3348 0.3348 0.1662
Pd: 0.1690 0.1690 0.3380
Pd: 0.8310 0.8310 0.6620

## Properties
The space group is No. 69. The calculated volume is 246.9 Å³ per cell. The energy relative to the elements, uncorrected comes out at -3.62 eV per formula unit. The calculation puts the uncorrected energy at -7.0517 eV per atom.